{"formula": "Pm8Y3Er2", "functional": "GGA-PBE", "state": "relaxed", "crystal_system": "monoclinic", "delta_e_f_ev_per_atom": 0.21, "lattice": [[-4.000, 3.374, 2.330], [-4.699, -6.089, 0.750], [6.187, 1.218, 8.846]], "species": ["Er", "Pm", "Pm", "Er", "Pm", "Pm", "Y", "Y", "Y", "Pm", "Pm", "Pm", "Pm"], "frac_coords": [[0.501, 0.760, 0.519], [0.001, 0.673, 0.345], [0.500, 0.402, 0.214], [0.499, 0.240, 0.481], [0.500, 0.598, 0.786], [0.500, 0.187, 0.786], [0.000, 0.285, 0.000], [0.500, 0.000, 0.000], [0.000, 0.715, 0.000], [0.000, 0.133, 0.266], [0.500, 0.813, 0.214], [0.000, 0.867, 0.734], [0.999, 0.327, 0.655]]}